Density functional theory data (PBE) for crystalline SnW4 at its relaxed geometry.

The calculated volume is 109.0 Å³/cell. Its formation energy from the elements is 15.0 eV/f.u.

The structure in CIF format:
```
data_SnW4
_chemical_formula_sum 'Sn1 W4'
_space_group_name_H-M_alt 'P 1'
_space_group_IT_number 1
_space_group_name_Hall 'P 1'
_cell_length_a 4.777
_cell_length_b 4.777
_cell_length_c 4.777
_cell_angle_alpha 90.00
_cell_angle_beta 90.00
_cell_angle_gamma 90.00
loop_
_atom_site_label
_atom_site_fract_x
_atom_site_fract_y
_atom_site_fract_z
_atom_site_occupancy
Sn1 0.000 0.000 0.000 1
W1 0.000 0.000 0.500 1
W2 0.000 0.500 0.000 1
W3 0.500 0.000 0.000 1
W4 0.500 0.500 0.500 1
```